Record 1
A relaxed RbBeCd3 crystal, computed with PBEsol.

Its magnetization is 0.00 μB per cell. The theoretical density comes out at 6.0 g/cm3. The value obtained for the formation energy is 0.19 eV per atom. The value obtained for the energy relative to the lowest polymorph listed for this composition is 0.000 eV per atom. The density of states at the Fermi level comes out at 0.349 states/eV per atom. The space group is No. 221.

a b c (Å): 4.936 4.936 4.936
angles (deg): 90.00 90.00 90.00
Fractional coordinates of all 5 atoms:
Cd 0.500 0.000 0.000
Cd 0.000 0.000 0.500
Rb 0.500 0.500 0.500
Cd 0.000 0.500 0.000
Be 0.000 0.000 0.000

***

Record 2
A relaxed LiTlCu2 crystal, computed with PBEsol.

Its magnetization is 0.00 μB per cell. The theoretical density comes out at 9.4 g/cm3. The value obtained for the formation energy is 0.05 eV per atom. The density of states at the Fermi level comes out at 0.264 states/eV per atom. The space group is No. 25.

a b c (Å): 3.032 3.293 6.006
angles (deg): 90.00 90.00 90.00
Fractional coordinates of all 4 atoms:
Tl 0.500 0.500 0.244
Cu 0.500 0.500 0.769
Cu 0.000 0.000 0.951
Li 0.000 0.000 0.536

***

Record 3
A relaxed ScNi2Ir crystal, computed with PBEsol.

Its magnetization is 0.74 μB per cell. The theoretical density comes out at 11.0 g/cm3. The value obtained for the formation energy is -0.28 eV per atom. The density of states at the Fermi level comes out at 1.181 states/eV per atom. The space group is No. 99.

a b c (Å): 3.089 3.092 5.624
angles (deg): 90.00 90.00 90.00
Fractional coordinates of all 4 atoms:
Ni 0.500 0.500 0.219
Ni 0.000 0.000 0.017
Sc 0.000 0.000 0.488
Ir 0.500 0.500 0.776

***

Record 4
A relaxed BaNiSnMo2 crystal, computed with PBEsol.

Its magnetization is 6.48 μB per cell. The theoretical density comes out at 5.2 g/cm3. The value obtained for the formation energy is 2.14 eV per atom. The density of states at the Fermi level comes out at 1.685 states/eV per atom. The space group is No. 123.

a b c (Å): 5.091 5.091 6.201
angles (deg): 90.00 90.00 90.00
Fractional coordinates of all 5 atoms:
Ni 0.500 0.500 0.500
Mo 0.500 0.000 0.000
Mo 0.000 0.500 0.000
Ba 0.000 0.000 0.500
Sn 0.000 0.000 0.000

***

Record 5
A relaxed TcAs2P crystal, computed with PBEsol.

Its magnetization is 0.00 μB per cell. The theoretical density comes out at 7.3 g/cm3. The value obtained for the formation energy is -0.08 eV per atom. The density of states at the Fermi level comes out at 0.443 states/eV per atom. The space group is No. 99.

a b c (Å): 3.028 3.028 6.919
angles (deg): 90.00 90.00 90.00
Fractional coordinates of all 4 atoms:
P 0.000 0.000 0.529
As 0.000 0.000 0.945
As 0.500 0.500 0.314
Tc 0.500 0.500 0.712

***

Record 6
A relaxed Te2IrAu crystal, computed with PBEsol.

Its magnetization is 0.00 μB per cell. The theoretical density comes out at 10.0 g/cm3. The calculation puts the energy relative to the elements, uncorrected at -7 kJ/mol of atoms. The value obtained for the energy relative to the lowest polymorph listed for this composition is 0.000 eV per atom. The density of states at the Fermi level comes out at 0.052 states/eV per atom. The space group is No. 166.

a b c (Å): 3.997 3.997 8.048
angles (deg): 75.62 75.62 60.00
Fractional coordinates of all 4 atoms:
Au 0.000 0.000 0.000
Te 0.111 0.111 0.667
Te 0.889 0.889 0.333
Ir 0.500 0.500 0.500

***

Record 7
A relaxed SrCdCo2Si crystal, computed with PBEsol.

Its magnetization is 3.41 μB per cell. The theoretical density comes out at 4.6 g/cm3. The calculation puts the energy relative to the elements, uncorrected at 135 kJ/mol of atoms. The density of states at the Fermi level comes out at 1.685 states/eV per atom. The space group is No. 123.

a b c (Å): 4.737 4.737 5.577
angles (deg): 90.00 90.00 90.00
Fractional coordinates of all 5 atoms:
Co 0.000 0.500 0.000
Sr 0.000 0.000 0.500
Co 0.500 0.000 0.000
Si 0.500 0.500 0.500
Cd 0.000 0.000 0.000

***

Record 8
A relaxed Li4TiMn5O12 crystal, computed with PBEsol.

Its magnetization is 15.04 μB per cell. The theoretical density comes out at 4.2 g/cm3. The calculation puts the energy relative to the elements, uncorrected at -187 kJ/mol of atoms. The density of states at the Fermi level comes out at 0.322 states/eV per atom. The space group is No. 12.

a b c (Å): 4.908 4.908 10.483
angles (deg): 99.50 99.50 117.59
Fractional coordinates of all 22 atoms:
O 0.436 0.774 0.399
Li 0.196 0.852 0.758
Mn 0.166 0.834 0.500
O 0.735 0.735 0.105
O 0.226 0.564 0.601
O 0.564 0.226 0.601
Mn 0.834 0.166 0.500
O 0.896 0.896 0.604
O 0.774 0.436 0.399
O 0.104 0.104 0.396
Li 0.804 0.148 0.242
O 0.027 0.373 0.115
Li 0.852 0.196 0.758
O 0.973 0.627 0.885
O 0.627 0.973 0.885
Ti 0.000 0.000 0.000
Li 0.148 0.804 0.242
O 0.265 0.265 0.895
Mn 0.665 0.335 0.000
Mn 0.500 0.500 0.500
O 0.373 0.027 0.115
Mn 0.335 0.665 0.000

***

Record 9
A relaxed Tb2PbS4 crystal, computed with PBEsol.

Its magnetization is 0.00 μB per cell. The theoretical density comes out at 7.4 g/cm3. The calculation puts the energy relative to the elements, uncorrected at -159 kJ/mol of atoms. The density of states at the Fermi level comes out at 0.000 states/eV per atom. The space group is No. 122.

a b c (Å): 7.264 7.264 7.264
angles (deg): 109.36 109.36 109.70
Fractional coordinates of all 14 atoms:
Tb 0.257 0.375 0.382
S 0.514 0.768 0.406
S 0.888 0.982 0.246
S 0.736 0.642 0.754
Pb 0.500 0.500 0.000
Pb 0.750 0.250 0.500
S 0.892 0.486 0.254
S 0.362 0.108 0.594
S 0.018 0.264 0.906
Tb 0.625 0.007 0.882
Tb 0.125 0.743 0.118
S 0.232 0.638 0.746
S 0.358 0.112 0.094
Tb 0.993 0.875 0.618

***

Record 10
A relaxed SnN2O2 crystal, computed with PBEsol.

Its magnetization is 0.00 μB per cell. The theoretical density comes out at 6.7 g/cm3. The calculation puts the energy relative to the elements, uncorrected at 99 kJ/mol of atoms. The value obtained for the energy relative to the lowest polymorph listed for this composition is 0.000 eV per atom. The density of states at the Fermi level comes out at 0.394 states/eV per atom. The space group is No. 123.

a b c (Å): 3.666 3.484 3.484
angles (deg): 90.00 90.00 90.00
Fractional coordinates of all 5 atoms:
O 0.000 0.500 0.000
N 0.000 0.000 0.000
Sn 0.500 0.500 0.500
N 0.500 0.000 0.000
O 0.000 0.000 0.500

***

Record 11
A relaxed WCN2 crystal, computed with PBEsol.

Its magnetization is 0.00 μB per cell. The theoretical density comes out at 10.7 g/cm3. The calculation puts the energy relative to the elements, uncorrected at 140 kJ/mol of atoms. The density of states at the Fermi level comes out at 0.613 states/eV per atom. The space group is No. 166.

a b c (Å): 2.614 2.614 6.056
angles (deg): 77.53 77.53 60.00
Fractional coordinates of all 4 atoms:
W 0.000 0.000 0.000
N 0.884 0.884 0.348
N 0.116 0.116 0.652
C 0.500 0.500 0.500

***

Record 12
A relaxed K2HfB crystal, computed with PBEsol.

Its magnetization is 0.00 μB per cell. The theoretical density comes out at 2.4 g/cm3. The value obtained for the formation energy is 1.09 eV per atom. The density of states at the Fermi level comes out at 0.436 states/eV per atom. The space group is No. 122.

a b c (Å): 4.343 9.397 9.397
angles (deg): 86.94 76.64 76.64
Fractional coordinates of all 8 atoms:
Hf 0.000 0.000 0.000
B 0.500 0.000 0.000
K 0.407 0.718 0.218
Hf 0.750 0.500 0.500
K 0.875 0.782 0.718
B 0.250 0.500 0.500
K 0.375 0.218 0.282
K 0.343 0.282 0.782

***

Record 13
A relaxed Re2P2O crystal, computed with PBEsol.

Its magnetization is 0.00 μB per cell. The theoretical density comes out at 11.1 g/cm3. The calculation puts the energy relative to the elements, uncorrected at 41 kJ/mol of atoms. The density of states at the Fermi level comes out at 0.830 states/eV per atom. The space group is No. 139.

a b c (Å): 3.399 3.399 6.323
angles (deg): 105.59 105.59 90.00
Fractional coordinates of all 5 atoms:
Re 0.384 0.384 0.768
O 0.000 0.000 0.000
P 0.250 0.750 0.500
Re 0.616 0.616 0.232
P 0.750 0.250 0.500

***

Record 14
A relaxed MnAg2Ir crystal, computed with PBEsol.

Its magnetization is 3.87 μB per cell. The theoretical density comes out at 12.6 g/cm3. The value obtained for the formation energy is 0.36 eV per atom. The value obtained for the energy relative to the lowest polymorph listed for this composition is 0.132 eV per atom. The density of states at the Fermi level comes out at 0.596 states/eV per atom. The space group is No. 44.

a b c (Å): 2.940 4.612 5.267
angles (deg): 115.97 106.20 90.00
Fractional coordinates of all 4 atoms:
Ag 0.753 0.253 0.507
Ir 0.518 0.518 0.037
Ag 0.990 0.990 0.981
Mn 0.238 0.738 0.476